Record 1
This record from Alexandria via LeMat-Bulk describes a geometry-optimized VGeAsBr structure. The functional is PBE.

ΔE to the lowest computed polymorph, meV per atom: 45
Symmetry: Amm2, No. 38
Uncorrected formation energy, eV/atom: -0.154

Lattice parameters (Å, degrees): 3.253 3.386 15.989 90.00 90.00 90.00
Each line ends with the local moment (μB).
Element x y z (fractional)
V  0.000  0.000  0.180  0.90
V  0.000  0.500  0.680  0.90
Br  0.500  0.000  0.299  -0.01
Br  0.500  0.500  0.799  -0.01
As  0.500  0.000  0.611  -0.05
As  0.500  0.500  0.111  -0.05
Ge  0.000  0.000  0.011  0.01
Ge  0.000  0.500  0.511  0.01

=====

Record 2
This record from Alexandria via LeMat-Bulk describes a geometry-optimized HfPOsCl2 structure. The functional is PBE.

ΔE to the lowest computed polymorph, meV per atom: 0
Symmetry: P4/mmm, No. 123
Uncorrected formation energy, eV/atom: 0.670

Lattice parameters (Å, degrees): 4.798 4.798 5.239 90.00 90.00 90.00
Each line ends with the local moment (μB).
Element x y z (fractional)
Cl  0.000  0.500  0.000  0.03
Cl  0.500  0.000  0.000  0.03
Hf  0.000  0.000  0.000  0.06
Os  0.500  0.500  0.500  3.11
P  0.000  0.000  0.500  -0.01

=====

Record 3
This record from Alexandria via LeMat-Bulk describes a geometry-optimized Pm2NiRh3 structure. The functional is PBE.

Symmetry: P6_3/mmc, No. 194

Lattice parameters (Å, degrees): 5.439 5.439 8.490 90.00 90.00 120.00
Each line ends with the local moment (μB).
Element x y z (fractional)
Ni  0.000  0.000  0.000  0.31
Ni  0.000  0.000  0.500  0.31
Rh  0.165  0.835  0.250  0.11
Rh  0.835  0.165  0.750  0.11
Rh  0.331  0.165  0.750  0.11
Rh  0.669  0.835  0.250  0.11
Rh  0.165  0.331  0.250  0.11
Rh  0.835  0.669  0.750  0.11
Pm  0.333  0.667  0.564  -0.02
Pm  0.333  0.667  0.936  -0.02
Pm  0.667  0.333  0.436  -0.02
Pm  0.667  0.333  0.064  -0.02

=====

Record 4
This record from Alexandria via LeMat-Bulk describes a geometry-optimized Li2HgBr structure. The functional is PBE.

ΔE to the lowest computed polymorph, meV per atom: 503
Symmetry: F-43m, No. 216
Uncorrected formation energy, eV/atom: -0.266

Lattice parameters (Å, degrees): 5.228 5.228 5.228 60.00 60.00 60.00
Element x y z (fractional)
Li  0.250  0.250  0.250
Li  0.000  0.000  0.000
Hg  0.750  0.750  0.750
Br  0.500  0.500  0.500

=====

Record 5
This record from Alexandria via LeMat-Bulk describes a geometry-optimized PrInHgAu structure. The functional is PBE.

Symmetry: F-43m, No. 216

Lattice parameters (Å, degrees): 5.166 5.166 5.166 60.00 60.00 60.00
Element x y z (fractional)
Pr  0.750  0.750  0.750
Au  0.000  0.000  0.000
Hg  0.500  0.500  0.500
In  0.250  0.250  0.250

=====

Record 6
This record from Alexandria via LeMat-Bulk describes a geometry-optimized Er2TmSi2Pt7 structure. The functional is PBE.

Symmetry: C2/m, No. 12
Uncorrected formation energy, eV/atom: -1.144

Lattice parameters (Å, degrees): 4.011 4.011 13.744 83.55 83.55 89.54
Element x y z (fractional)
Pt  0.438  0.937  0.161
Pt  0.063  0.562  0.839
Pt  0.640  0.640  0.571
Pt  0.360  0.360  0.429
Pt  0.500  0.500  0.000
Pt  0.562  0.063  0.839
Pt  0.937  0.438  0.161
Tm  0.000  0.000  0.000
Er  0.877  0.877  0.356
Er  0.123  0.123  0.644
Si  0.400  0.400  0.259
Si  0.600  0.600  0.741

=====

Record 7
This record from Alexandria via LeMat-Bulk describes a geometry-optimized Ag2AsP structure. The functional is PBE.

ΔE to the lowest computed polymorph, meV per atom: 260
Symmetry: F-43m, No. 216

Lattice parameters (Å, degrees): 4.699 4.699 4.699 60.00 60.00 60.00
Element x y z (fractional)
P  0.750  0.750  0.750
Ag  0.250  0.250  0.250
Ag  0.000  0.000  0.000
As  0.500  0.500  0.500

=====

Record 8
This record from Alexandria via LeMat-Bulk describes a geometry-optimized Mo2Pt structure. The functional is PBE.

ΔE to the lowest computed polymorph, meV per atom: 37
Symmetry: Cm, No. 8

Lattice parameters (Å, degrees): 5.371 5.371 6.745 75.81 75.81 29.89
Element x y z (fractional)
Mo  0.995  0.995  0.996
Mo  0.609  0.609  0.285
Mo  0.670  0.670  0.665
Mo  0.339  0.339  0.331
Pt  0.274  0.274  0.949
Pt  0.947  0.947  0.607

=====

Record 9
This record from Alexandria via LeMat-Bulk describes a geometry-optimized MgAsP structure. The functional is PBE.

ΔE to the lowest computed polymorph, meV per atom: 361
Symmetry: F-43m, No. 216

Lattice parameters (Å, degrees): 4.459 4.459 4.459 60.00 60.00 60.00
Element x y z (fractional)
P  0.750  0.750  0.750
Mg  0.500  0.500  0.500
As  0.000  0.000  0.000

=====

Record 10
This record from Alexandria via LeMat-Bulk describes a geometry-optimized TaTcNi2 structure. The functional is PBE.

ΔE to the lowest computed polymorph, meV per atom: 75
Symmetry: P4mm, No. 99

Lattice parameters (Å, degrees): 3.159 3.158 5.477 90.00 90.00 90.00
Element x y z (fractional)
Tc  0.500  0.500  0.772
Ta  0.000  0.000  0.486
Ni  0.000  0.000  0.006
Ni  0.500  0.500  0.236

=====

Record 11
This record from Alexandria via LeMat-Bulk describes a geometry-optimized LaTaZnPt2 structure. The functional is PBE.

Symmetry: P4/mmm, No. 123

Lattice parameters (Å, degrees): 5.123 5.135 5.123 90.00 90.00 90.00
Each line ends with the local moment (μB).
Element x y z (fractional)
Pt  0.500  0.000  0.000  -0.01
Pt  0.000  0.000  0.500  -0.02
La  0.000  0.000  0.000  -0.02
Ta  0.500  0.500  0.500  1.61
Zn  0.000  0.500  0.000  -0.01

=====

Record 12
This record from Alexandria via LeMat-Bulk describes a geometry-optimized CaCr2Rh structure. The functional is PBE.

ΔE to the lowest computed polymorph, meV per atom: 442
Symmetry: C2/m, No. 12

Lattice parameters (Å, degrees): 5.273 5.273 2.689 81.85 81.85 122.01
Element x y z (fractional)
Cr  0.000  0.000  0.000
Cr  0.500  0.500  0.000
Rh  0.500  0.000  0.500
Ca  0.000  0.500  0.500

=====

Record 13
This record from Alexandria via LeMat-Bulk describes a geometry-optimized GeTeC2 structure. The functional is PBE.

ΔE to the lowest computed polymorph, meV per atom: 908
Symmetry: Fm-3m, No. 225
Uncorrected formation energy, eV/atom: 2.324

Lattice parameters (Å, degrees): 4.251 4.251 4.251 60.00 60.00 60.00
Element x y z (fractional)
C  0.750  0.750  0.750
C  0.250  0.250  0.250
Ge  0.000  0.000  0.000
Te  0.500  0.500  0.500

=====

Record 14
This record from Alexandria via LeMat-Bulk describes a geometry-optimized AcPrInAg structure. The functional is PBE.

ΔE to the lowest computed polymorph, meV per atom: 0
Symmetry: P4mm, No. 99

Lattice parameters (Å, degrees): 3.874 3.874 8.153 90.00 90.00 90.00
Element x y z (fractional)
Pr  0.000  0.000  0.368
In  0.500  0.500  0.125
Ac  0.000  0.000  0.849
Ag  0.500  0.500  0.587

=====

Record 15
This record from Alexandria via LeMat-Bulk describes a geometry-optimized PmMgInBr6 structure. The functional is PBE.

Symmetry: P-31c, No. 163
Uncorrected formation energy, eV/atom: -1.469

Lattice parameters (Å, degrees): 7.270 7.270 14.411 90.00 90.00 120.00
Element x y z (fractional)
Br  0.982  0.621  0.861
Br  0.018  0.640  0.361
Br  0.640  0.018  0.861
Br  0.360  0.982  0.139
Br  0.360  0.379  0.361
Br  0.621  0.982  0.361
Br  0.379  0.360  0.861
Br  0.982  0.360  0.639
Br  0.640  0.621  0.639
Br  0.379  0.018  0.639
Br  0.018  0.379  0.139
Br  0.621  0.640  0.139
In  0.000  0.000  0.500
In  0.000  0.000  0.000
Mg  0.333  0.667  0.250
Mg  0.667  0.333  0.750
Pm  0.667  0.333  0.250
Pm  0.333  0.667  0.750

=====

Record 16
This record from Alexandria via LeMat-Bulk describes a geometry-optimized In2ReTe structure. The functional is PBE.

Symmetry: Cmm2, No. 35
Uncorrected formation energy, eV/atom: 0.536

Lattice parameters (Å, degrees): 3.150 3.150 10.791 90.00 90.00 118.16
Element x y z (fractional)
Te  0.500  0.500  0.696
In  0.000  0.000  0.021
In  0.500  0.500  0.283
Re  0.000  0.000  0.500

=====

Record 17
This record from Alexandria via LeMat-Bulk describes a geometry-optimized U2FeC2 structure. The functional is PBE.

ΔE to the lowest computed polymorph, meV per atom: 0
Symmetry: I4/mmm, No. 139

Lattice parameters (Å, degrees): 3.450 3.450 6.392 105.66 105.66 90.00
Each line ends with the local moment (μB).
Element x y z (fractional)
U  0.640  0.640  0.281  -0.62
U  0.360  0.360  0.719  -0.62
C  0.168  0.168  0.336  0.02
C  0.832  0.832  0.664  0.02
Fe  0.000  0.000  0.000  0.70

=====

Record 18
This record from Alexandria via LeMat-Bulk describes a geometry-optimized SrPuInAu structure. The functional is PBE.

Symmetry: F-43m, No. 216

Lattice parameters (Å, degrees): 5.427 5.427 5.427 60.00 60.00 60.00
Each line ends with the local moment (μB).
Element x y z (fractional)
Pu  0.500  0.500  0.500  5.48
Au  0.750  0.750  0.750  0.02
In  0.250  0.250  0.250  0.04
Sr  0.000  0.000  0.000  0.02

=====

Record 19
This record from Alexandria via LeMat-Bulk describes a geometry-optimized SrBrCl2 structure. The functional is PBE.

ΔE to the lowest computed polymorph, meV per atom: 259
Symmetry: F-43m, No. 216
Uncorrected formation energy, eV/atom: -1.377

Lattice parameters (Å, degrees): 5.336 5.336 5.336 60.00 60.00 60.00
Each line ends with the local moment (μB).
Element x y z (fractional)
Br  0.500  0.500  0.500  0.23
Sr  0.750  0.750  0.750  0.00
Cl  0.000  0.000  0.000  0.14
Cl  0.250  0.250  0.250  0.44

=====

Record 20
This record from Alexandria via LeMat-Bulk describes a geometry-optimized LiLaCu2 structure. The functional is PBE.

Symmetry: I4_1/amd, No. 141

Lattice parameters (Å, degrees): 4.657 4.657 8.797 74.65 74.65 90.00
Element x y z (fractional)
Li  0.500  0.500  0.000
Li  0.250  0.750  0.500
La  0.000  0.000  0.000
La  0.750  0.250  0.500
Cu  0.875  0.626  0.750
Cu  0.376  0.125  0.250
Cu  0.375  0.624  0.750
Cu  0.374  0.625  0.250

=====

Record 21
This record from Alexandria via LeMat-Bulk describes a geometry-optimized Ni2PHW structure. The functional is PBE.

Symmetry: P4/mmm, No. 123

Lattice parameters (Å, degrees): 3.577 4.048 3.577 90.00 90.00 90.00
Element x y z (fractional)
H  0.000  0.000  0.000
Ni  0.000  0.000  0.500
Ni  0.500  0.000  0.000
W  0.000  0.500  0.000
P  0.500  0.500  0.500

=====

Record 22
This record from Alexandria via LeMat-Bulk describes a geometry-optimized SiBi structure. The functional is PBE.

Symmetry: P2_1/m, No. 11
Uncorrected formation energy, eV/atom: 0.216

Lattice parameters (Å, degrees): 3.345 3.344 9.389 90.00 90.08 90.00
Element x y z (fractional)
Bi  0.252  0.750  0.829
Bi  0.748  0.250  0.171
Si  0.250  0.750  0.538
Si  0.750  0.250  0.462

=====

Record 23
This record from Alexandria via LeMat-Bulk describes a geometry-optimized Pm7In2Ge2 structure. The functional is PBE.

Symmetry: Cmmm, No. 65

Lattice parameters (Å, degrees): 7.010 7.337 7.010 90.00 106.68 90.00
Element x y z (fractional)
Pm  0.500  0.748  0.500
Pm  0.000  0.727  0.500
Pm  0.000  0.000  0.000
Pm  0.500  0.252  0.500
Pm  0.500  0.273  0.000
Pm  0.500  0.727  0.000
Pm  0.000  0.273  0.500
In  0.829  0.500  0.829
In  0.171  0.500  0.171
Ge  0.281  0.000  0.719
Ge  0.719  0.000  0.281

=====

Record 24
This record from Alexandria via LeMat-Bulk describes a geometry-optimized PIr2Pb structure. The functional is PBE.

ΔE to the lowest computed polymorph, meV per atom: 663
Symmetry: I-4m2, No. 119

Lattice parameters (Å, degrees): 5.353 5.353 5.353 137.88 137.88 61.08
Element x y z (fractional)
Ir  0.250  0.750  0.500
Ir  0.000  0.000  0.000
P  0.500  0.500  0.000
Pb  0.750  0.250  0.500

=====

Record 25
This record from Alexandria via LeMat-Bulk describes a geometry-optimized LaZrNi2Ge2 structure. The functional is PBE.

Symmetry: P-3m1, No. 164

Lattice parameters (Å, degrees): 4.219 4.219 7.263 90.00 90.00 120.00
Element x y z (fractional)
Zr  0.000  0.000  0.500
Ni  0.333  0.667  0.677
Ni  0.667  0.333  0.323
La  0.000  0.000  0.000
Ge  0.333  0.667  0.286
Ge  0.667  0.333  0.714

=====

Record 26
This record from Alexandria via LeMat-Bulk describes a geometry-optimized PrEr4Sb5 structure. The functional is PBE.

Symmetry: Immm, No. 71
Uncorrected formation energy, eV/atom: -1.104

Lattice parameters (Å, degrees): 4.393 6.221 11.622 105.52 100.90 90.00
Element x y z (fractional)
Er  0.202  0.202  0.405
Er  0.600  0.600  0.201
Er  0.400  0.400  0.799
Er  0.798  0.798  0.595
Pr  0.000  0.000  0.000
Sb  0.395  0.895  0.790
Sb  0.199  0.699  0.398
Sb  0.605  0.105  0.210
Sb  0.801  0.301  0.602
Sb  0.000  0.500  0.000

=====

Record 27
This record from Alexandria via LeMat-Bulk describes a geometry-optimized TcTe3H structure. The functional is PBE.

ΔE to the lowest computed polymorph, meV per atom: 178
Symmetry: Pm-3m, No. 221

Lattice parameters (Å, degrees): 4.575 4.575 4.575 90.00 90.00 90.00
Element x y z (fractional)
Te  0.000  0.000  0.500
Te  0.000  0.500  0.000
Te  0.500  0.000  0.000
Tc  0.500  0.500  0.500
H  0.000  0.000  0.000

=====

Energy, respectively: -5.168, -5.387, -6.788, -1.717, -3.325, -6.705, -3.492, -9.362, -3.755, -8.586, -4.631, -6.484, -4.228, -3.967, -3.594, -4.730, -10.039, -5.792, -3.139, -3.611, -6.614, -4.436, -4.711, -6.103, -6.479, -5.468, -3.572 eV/atom.
Calculated volume, respectively: 22.01, 24.12, 18.13, 25.27, 24.38, 18.19, 18.34, 15.63, 20.90, 13.66, 26.96, 15.16, 13.58, 30.59, 36.65, 23.59, 14.06, 28.26, 26.85, 22.11, 10.36, 26.26, 31.40, 17.05, 18.66, 30.01, 19.15 Å³/atom.